Below is a relaxed VIBr2F crystal, with properties calculated at the PBE+U level.

Cell lengths 5.4735, 4.0782, 5.4735 Å; angles 90.00, 90.00, 90.00 degrees
Closest atoms and distances in Å follow each position.
Fractional positions:
1 Br 0.0000 0.0000 0.5000  2 V 2.74
2 V 0.0000 0.0000 0.0000  2 F 2.04
3 I 0.5000 0.5000 0.5000  8 Br 3.41
4 Br 0.5000 0.0000 0.0000  2 V 2.74
5 F 0.0000 0.5000 0.0000  2 V 2.04

Computed properties:
SG ... P4/mmm, No. 123
DFT total energy ... -3.628 eV/atom